## NiBi2BPd (PBE)

Data for a relaxed NiBi2BPd crystal.

## Properties
Formation energy (kcal/mol of atoms): 9.52
Total DFT energy (no corrections) (eV/atom): -4.670

a = 5.196 Å, b = 3.725 Å, c = 5.196 Å
α = 90.00°, β = 90.00°, γ = 90.00°
Fractional positions:
Bi  0.000  0.000  0.500
Ni  0.000  0.000  0.000
B  0.000  0.500  0.000
Pd  0.500  0.500  0.500
Bi  0.500  0.000  0.000